1.
Compound: Ac2CeDy
Source: the Alexandria database
Functional: PBE-GGA
Structure: optimized geometry

Cell lengths 3.7832, 3.7832, 10.4279 Å; angles 90.00, 90.00, 90.00 degrees
Space group P4/mmm (No. 123)
Inequivalent atoms, fractional coordinates:
Ac1 0.0000 0.0000 0.2495 x2
Ce1 0.5000 0.5000 0.0000 x1
Dy1 0.5000 0.5000 0.5000 x1

Summary:
total DFT energy (no corrections)	-4.572	eV per atom
N(E_F)	9.55	states/eV/cell
energy above the most stable polymorph in this dataset	0.00	eV per formula unit

2.
Compound: Tb12Sm7Sc
Source: the Alexandria database
Functional: PBE-GGA
Structure: optimized geometry

Cell lengths 11.3097, 11.3097, 11.3097 Å; angles 90.00, 90.00, 90.00 degrees
Space group Im-3m (No. 229)
Inequivalent atoms, fractional coordinates:
Tb1 0.0000 0.2438 0.2438 x24
Sm1 0.0000 0.0000 0.5000 x6
Sm2 0.2500 0.2500 0.2500 x8
Sc1 0.0000 0.0000 0.0000 x2

Summary:
total DFT energy (no corrections)	-4.065	eV per atom
N(E_F)	54.21	states/eV/cell

3.
Compound: V2InSn2
Source: the Alexandria database
Functional: PBE-GGA
Structure: optimized geometry

Cell lengths 7.1430, 7.1430, 3.8402 Å; angles 90.00, 90.00, 90.00 degrees
Space group P4/mbm (No. 127)
Inequivalent atoms, fractional coordinates:
V1 0.1242 0.3758 0.0000 x4
In1 0.0000 0.0000 0.0000 x2
Sn1 0.1682 0.6682 0.5000 x4

Summary:
total DFT energy (no corrections)	-5.638	eV per atom
N(E_F)	8.32	states/eV/cell

4.
Compound: CdSbTe2O
Source: the Alexandria database
Functional: PBE-GGA
Structure: optimized geometry

Cell lengths 4.8816, 4.8816, 4.9320 Å; angles 90.00, 90.00, 90.00 degrees
Space group P4/mmm (No. 123)
Inequivalent atoms, fractional coordinates:
Cd1 0.0000 0.0000 0.0000 x1
Sb1 0.5000 0.5000 0.0000 x1
Te1 0.0000 0.5000 0.5000 x2
O1 0.5000 0.5000 0.5000 x1

Summary:
total DFT energy (no corrections)	-3.141	eV per atom
N(E_F)	4.26	states/eV/cell
energy above the most stable polymorph in this dataset	0.00	eV per formula unit

5.
Compound: CsNiSn2
Source: the Alexandria database
Functional: PBE-GGA
Structure: optimized geometry

Cell lengths 4.3136, 4.3136, 23.5607 Å; angles 90.00, 90.00, 120.00 degrees
Space group R3m (No. 160, hexagonal axes)
Inequivalent atoms, fractional coordinates:
Cs1 0.0000 0.0000 0.0000 x3
Ni1 0.0000 0.0000 0.1706 x3
Sn1 0.0000 0.0000 0.5413 x3
Sn2 0.0000 0.0000 0.7947 x3

Summary:
total DFT energy (no corrections)	-3.827	eV per atom
N(E_F)	10.60	states/eV/cell